A relaxed TaMn4Br crystal, computed with PBE.

a b c (Å): 4.9102 4.9102 4.9102
angles (deg): 60.00 60.00 60.00
Last column: nearest neighbours and their distance in Å.
Sites, in units of the cell vectors:
Ta  0.7500  0.7500  0.7500  12 Mn 2.88, 4 Br 3.01
Br  0.0000  0.0000  0.0000  12 Mn 2.88, 4 Ta 3.01
Mn  0.3760  0.3760  0.8720  6 Mn 2.44-2.47
Mn  0.8720  0.3760  0.3760  6 Mn 2.44-2.47
Mn  0.3760  0.8720  0.3760  6 Mn 2.44-2.47
Mn  0.3760  0.3760  0.3760  6 Mn 2.44-2.47

The symmetry is F-43m (216). The calculation puts the total energy at -7.770 eV per atom. Its formation energy without anion corrections is 13.8 kcal/mol of atoms. The magnetization is 6.04 Bohr magnetons per cell.